Compound: Ac3TcAg
Source: Alexandria
Functional: GGA-PBE
Structure: optimized geometry

```
Ac3TcAg
1.0
4.263 0.017 0.004
-0.032 8.867 -2.457
-0.006 -0.893 9.077
Ac Tc Ag
6 2 2
Direct
0.250 0.341 0.591 Ac
0.250 0.940 0.781 Ac
0.250 0.684 0.060 Ac
0.750 0.659 0.409 Ac
0.750 0.060 0.219 Ac
0.750 0.316 0.940 Ac
0.750 0.060 0.549 Tc
0.250 0.940 0.451 Tc
0.750 0.647 0.776 Ag
0.250 0.353 0.224 Ag
```

Fermi-level density of states ... 11.22 states/eV per cell
SG ... P2_1/m (11)
Energy ... -51.55 eV for the cell shown
ΔH_f (0 K) ... -0.05 eV/atom

Compound: MnFeTe2
Source: Alexandria
Functional: GGA-PBE
Structure: optimized geometry

```
MnFeTe2
1.0
-3.007 3.372 -1.343
-1.598 0.209 4.105
2.442 3.016 2.104
Fe Te Mn
1 2 1
Direct
0.000 0.523 0.523 Fe
0.500 0.345 0.345 Te
0.000 0.906 0.906 Te
0.500 0.725 0.726 Mn
```

Fermi-level density of states ... 5.95 states/eV per cell
SG ... Amm2 (38)
Energy ... -23.45 eV for the cell shown

Compound: NiHg2
Source: Alexandria
Functional: GGA-PBE
Structure: optimized geometry

```
NiHg2
1.0
3.187 -0.042 -0.106
-1.621 2.751 0.108
-0.700 -1.333 6.658
Hg Ni
2 1
Direct
0.795 0.634 0.961 Hg
0.489 0.369 0.368 Hg
0.977 0.167 0.664 Ni
```

Fermi-level density of states ... 1.62 states/eV per cell
SG ... P1 (1)
Energy ... -5.53 eV for the cell shown
ΔH_f (0 K) ... 0.28 eV/atom

Compound: Pm4Ga6Rh7
Source: Alexandria
Functional: GGA-PBE
Structure: optimized geometry

```
Pm4Ga6Rh7
1.0
-1.980 5.600 -4.419
6.930 -2.065 -1.587
-4.582 -5.717 -1.058
Rh Ga Pm
7 6 4
Direct
0.250 0.500 0.750 Rh
0.500 0.750 0.250 Rh
0.500 0.250 0.750 Rh
0.750 0.250 0.500 Rh
0.000 0.000 0.000 Rh
0.250 0.750 0.500 Rh
0.750 0.500 0.250 Rh
0.677 0.000 0.677 Ga
0.000 0.323 0.323 Ga
0.323 0.323 0.000 Ga
0.323 0.000 0.323 Ga
0.677 0.677 0.000 Ga
0.000 0.677 0.677 Ga
0.000 0.500 0.000 Pm
0.500 0.500 0.500 Pm
0.500 0.000 0.000 Pm
0.000 0.000 0.500 Pm
```

Fermi-level density of states ... 10.78 states/eV per cell
SG ... Im-3m (229)
Energy ... -101.84 eV for the cell shown
ΔH_f (0 K) ... -0.78 eV/atom